Density functional theory data (PBE-GGA) for a relaxed Tm12ScAl3 crystal.

formation enthalpy at 0 K = -2.1 eV per formula unit
total moment = 0.0 μB/f.u.
total DFT energy (no corrections) = -4.585 eV/atom
symmetry = P4/mmm (123)

Lattice parameters (Å, degrees): 4.7163 4.7163 19.0868 90.00 90.00 90.00
Closest atoms and distances in Å follow each position.
Element x y z (fractional)
1 Tm 0.0000 0.5000 0.6226  4 Al 3.31-3.32, 8 Tm 3.32-3.33
2 Tm 0.5000 0.5000 0.5000  8 Tm 3.32, 4 Al 3.33
3 Tm 0.5000 0.0000 0.3774  4 Al 3.31-3.32, 8 Tm 3.32-3.33
4 Tm 0.5000 0.0000 0.1304  8 Tm 3.33-3.43, 2 Al 3.36, 2 Sc 3.43
5 Tm 0.0000 0.5000 0.8696  8 Tm 3.33-3.43, 2 Al 3.36, 2 Sc 3.43
6 Tm 0.5000 0.0000 0.6226  4 Al 3.31-3.32, 8 Tm 3.32-3.33
7 Tm 0.5000 0.5000 0.2547  8 Tm 3.32-3.35, 4 Al 3.33
8 Tm 0.5000 0.0000 0.8696  8 Tm 3.33-3.43, 2 Al 3.36, 2 Sc 3.43
9 Tm 0.5000 0.5000 0.7453  8 Tm 3.32-3.35, 4 Al 3.33
10 Tm 0.0000 0.5000 0.3774  4 Al 3.31-3.32, 8 Tm 3.32-3.33
11 Tm 0.5000 0.5000 0.0000  4 Sc 3.33, 8 Tm 3.43
12 Tm 0.0000 0.5000 0.1304  8 Tm 3.33-3.43, 2 Al 3.36, 2 Sc 3.43
13 Al 0.0000 0.0000 0.5000  12 Tm 3.32-3.33
14 Al 0.0000 0.0000 0.2555  12 Tm 3.31-3.36
15 Al 0.0000 0.0000 0.7445  12 Tm 3.31-3.36
16 Sc 0.0000 0.0000 0.0000  12 Tm 3.33-3.43


Density functional theory data (PBE-GGA) for a relaxed Na2As2O5 crystal.

total moment = 0.0 μB/f.u.
total DFT energy (no corrections) = -5.368 eV/atom
uncorrected formation energy = -1288 meV per atom
symmetry = P-1 (2)

Lattice parameters (Å, degrees): 3.5707 5.7846 7.3127 100.20 104.29 90.21
Closest atoms and distances in Å follow each position.
Element x y z (fractional)
1 O 0.3416 0.9650 0.6823  2 As 1.93
2 O 0.0975 0.6289 0.2047  1 As 1.70
3 O 0.6584 0.0350 0.3177  2 As 1.93
4 O 0.0000 0.0000 0.0000  2 As 1.87
5 O 0.9025 0.3711 0.7953  1 As 1.70
6 As 0.8782 0.0721 0.7534  2 O 1.70-1.87
7 As 0.1218 0.9279 0.2466  2 O 1.70-1.87
8 Na 0.5837 0.3786 0.1800  3 O 2.28-2.37
9 Na 0.4163 0.6214 0.8200  3 O 2.28-2.37


Density functional theory data (PBE-GGA) for a relaxed Y2HAu crystal.

total moment = 0.0 μB/f.u.
total DFT energy (no corrections) = -5.437 eV/atom
offset from the most stable computed form = 141 meV/atom
symmetry = I-42d (122)

Lattice parameters (Å, degrees): 6.7170 6.7170 6.0189 56.08 56.08 90.00
Closest atoms and distances in Å follow each position.
Element x y z (fractional)
1 Y 0.8750 0.7959 0.7500  2 H 2.23
2 Y 0.3750 0.4541 0.7500  2 H 2.23
3 Y 0.2041 0.6250 0.2500  2 H 2.23
4 Y 0.5459 0.1250 0.2500  2 H 2.23
5 H 0.2500 0.7500 0.5000  4 Y 2.23
6 H 0.5000 0.5000 0.0000  4 Y 2.23
7 Au 0.0000 0.0000 0.0000  4 Y 2.93
8 Au 0.7500 0.2500 0.5000  4 Y 2.93